A relaxed structure of Ba2AlRh, computed with PBE-GGA.

The calculation puts the theoretical density at 5.43 Mg/m³. The calculation puts the final energy at -3.687 eV/atom. The value obtained for the formation energy is 0.05 eV/atom. For the energy relative to the lowest polymorph listed for this composition, the calculation gives 0.437 eV/atom.

The structure belongs to space group Pmmm (No. 47); the cell edges are 3.962, 4.041 and 7.730 Å and the angles 90.00°, 90.00° and 90.00°. The inequivalent atoms are Ba at (0.000, 0.000, 0.226), Al at (0.500, 0.500, 0.500) and Rh at (0.500, 0.500, 0.000).